This record from the Alexandria database describes a geometry-optimized CrCdO structure. The functional is GGA+U.

a b c (Å): 5.2392 3.0244 12.4905
angles (deg): 90.00 90.07 90.00
Space group C2/m (No. 12)
Inequivalent atoms, fractional coordinates:
Cr 0.1663 0.0000 0.3948 x4
Cd 0.1667 0.0000 0.8825 x4
O 0.1672 0.0000 0.6765 x4

Properties
ΔE to the lowest computed polymorph: 0.074 eV per atom